No. 1
Entry from Alexandria via LeMat-Bulk: an optimized crystal structure of YGa2Hg (PBE).

spin magnetization = 0.0 μB/f.u.
SG = No. 166
calculated formation energy = -325 meV/atom
uncorrected energy = -3.53 eV per atom

a b c (Å): 4.444 4.444 5.738
angles (deg): 67.21 67.21 60.00
Sites, in units of the cell vectors:
1 Y 0.000 0.000 0.000
2 Ga 0.770 0.770 0.691
3 Hg 0.500 0.500 0.500
4 Ga 0.230 0.230 0.309


No. 2
Entry from Alexandria via LeMat-Bulk: an optimized crystal structure of TaCu2Tc2 (PBE).

spin magnetization = 0.0 μB/f.u.
SG = No. 127
calculated formation energy = 254 meV/atom
uncorrected energy = -7.90 eV per atom

a b c (Å): 6.584 6.584 3.305
angles (deg): 90.00 90.00 90.00
Sites, in units of the cell vectors:
1 Ta 0.000 0.000 0.000
2 Tc 0.824 0.324 0.500
3 Tc 0.176 0.676 0.500
4 Tc 0.676 0.824 0.500
5 Cu 0.624 0.124 0.000
6 Ta 0.500 0.500 0.000
7 Cu 0.124 0.376 0.000
8 Tc 0.324 0.176 0.500
9 Cu 0.876 0.624 0.000
10 Cu 0.376 0.876 0.000


No. 3
Entry from Alexandria via LeMat-Bulk: an optimized crystal structure of Na3TcN2 (PBE).

raw formation energy = -0.1306 eV per atom
spin magnetization = 0.0 μB/f.u.
SG = No. 63
uncorrected energy = -5.29 eV per atom

a b c (Å): 5.659 5.659 6.406
angles (deg): 90.00 90.00 101.03
Sites, in units of the cell vectors:
1 Tc 0.852 0.852 0.250
2 Na 0.712 0.289 0.500
3 Na 0.739 0.739 0.750
4 Na 0.288 0.711 0.000
5 N 0.398 0.398 0.750
6 Na 0.289 0.712 0.500
7 Na 0.261 0.261 0.250
8 N 0.000 0.000 0.500
9 N 0.602 0.602 0.250
10 N 0.000 0.000 0.000
11 Na 0.711 0.288 0.000
12 Tc 0.148 0.148 0.750